VASP calculation (PBE-GGA) on a relaxed Sr3Zn2GaAu6 crystal.

The structure in POSCAR format:
```
Sr3Zn2GaAu6
1.0
-0.861 -6.105 1.800
5.245 1.662 -3.314
4.092 1.563 7.261
Sr Zn Ga Au
3 2 1 6
Cartesian
5.839 0.078 3.057
2.637 -2.958 2.690
0.000 0.000 0.000
5.063 -2.031 6.995
3.413 -0.849 -1.248
2.046 0.782 3.630
4.959 -2.082 0.580
2.943 -0.039 1.276
5.355 0.726 -0.248
5.533 -2.841 4.470
3.517 -0.798 5.167
3.121 -3.605 5.994
```

## Properties
**Total magnetization**: 0.00 μB/cell
**E_form**: -5.4 eV per formula unit
**Space group**: P-3m1

VASP calculation (PBE-GGA) on a relaxed CaDyTm crystal.

The structure in POSCAR format:
```
CaDyTm
1.0
4.897 0.000 0.000
0.000 4.897 0.000
0.000 0.000 8.789
Tm Dy Ca
2 2 2
Cartesian
0.000 2.448 6.342
2.448 0.000 2.447
2.448 2.448 0.000
0.000 0.000 0.000
2.448 0.000 5.943
0.000 2.448 2.846
```

## Properties
**Total magnetization**: 0.00 μB/cell
**E_form**: 0.9 eV per formula unit
**Polymorph energy (0 for the lowest one)**: 212.2 meV/atom
**Space group**: P4/nmm

VASP calculation (PBE-GGA) on a relaxed CaTa2As crystal.

The structure in POSCAR format:
```
CaTa2As
1.0
-1.378 2.164 3.611
-4.197 -0.998 -1.003
-2.072 -7.676 6.525
As Ca Ta
2 2 4
Cartesian
0.000 0.000 0.000
-3.118 -2.465 5.720
-2.788 0.583 1.304
-4.528 -4.046 3.413
-2.080 -0.414 4.226
-4.515 -0.386 4.604
-3.106 -5.192 6.000
-2.772 -3.867 8.051
```

## Properties
**Total magnetization**: 0.00 μB/cell
**E_form**: 2.2 eV per formula unit
**Space group**: I-42d